Record 1
An optimized crystal structure of Nd2SmThPt2, computed with PBE. Values from VASP.

E	-0.46759	Ry/atom
formation enthalpy at 0 K	-0.736	eV/atom

The structure in Quantum ESPRESSO input format:
```
&SYSTEM
  ibrav = 0, nat = 12, ntyp = 4
/
ATOMIC_SPECIES
Nd 144.24 Nd.upf
Sm 150.36 Sm.upf
Th 232.04 Th.upf
Pt 195.08 Pt.upf
ATOMIC_POSITIONS crystal
Nd 0.193 0.226 0.419
Nd 0.307 0.726 0.033
Nd 0.693 0.274 0.967
Nd 0.807 0.774 0.581
Sm 0.250 0.750 0.500
Sm 0.750 0.250 0.500
Th 0.250 0.250 0.000
Th 0.750 0.750 0.000
Pt 0.105 0.764 0.869
Pt 0.395 0.264 0.658
Pt 0.605 0.736 0.342
Pt 0.895 0.236 0.131
CELL_PARAMETERS angstrom
-3.547 7.032 3.563
3.547 -7.032 3.563
3.547 7.032 -3.563
```


Record 2
An optimized crystal structure of Tm2MnCo, computed with PBE. Values from VASP.

E	-0.42761	Ry/atom
formation enthalpy at 0 K	0.487	eV/atom

The structure in Quantum ESPRESSO input format:
```
&SYSTEM
  ibrav = 0, nat = 4, ntyp = 3
/
ATOMIC_SPECIES
Tm 168.93 Tm.upf
Mn 54.94 Mn.upf
Co 58.93 Co.upf
ATOMIC_POSITIONS crystal
Tm 0.104 0.104 0.104
Tm 0.896 0.896 0.896
Mn 0.000 0.000 0.000
Co 0.500 0.500 0.500
CELL_PARAMETERS angstrom
1.670 0.964 9.491
-1.670 0.964 9.491
0.000 -1.929 9.491
```


Record 3
An optimized crystal structure of Li11Hg4Au9, computed with PBE. Values from VASP.

E	-0.19139	Ry/atom
formation enthalpy at 0 K	-0.447	eV/atom

The structure in Quantum ESPRESSO input format:
```
&SYSTEM
  ibrav = 0, nat = 24, ntyp = 3
/
ATOMIC_SPECIES
Li 6.94 Li.upf
Hg 200.59 Hg.upf
Au 196.97 Au.upf
ATOMIC_POSITIONS crystal
Li 0.000 0.000 0.000
Li 0.041 0.404 0.000
Li 0.185 0.815 0.000
Li 0.199 0.199 0.000
Li 0.366 0.634 0.000
Li 0.404 0.041 0.000
Li 0.596 0.959 0.000
Li 0.634 0.366 0.000
Li 0.801 0.801 0.000
Li 0.815 0.185 0.000
Li 0.959 0.596 0.000
Hg 0.243 0.412 0.500
Hg 0.412 0.243 0.500
Hg 0.588 0.757 0.500
Hg 0.757 0.588 0.500
Au 0.012 0.202 0.500
Au 0.156 0.618 0.500
Au 0.202 0.012 0.500
Au 0.382 0.844 0.500
Au 0.500 0.500 0.500
Au 0.618 0.156 0.500
Au 0.798 0.988 0.500
Au 0.844 0.382 0.500
Au 0.988 0.798 0.500
CELL_PARAMETERS angstrom
6.831 -9.634 0.000
6.831 9.634 0.000
0.000 0.000 3.061
```


Record 4
An optimized crystal structure of LiZr2Au, computed with PBE. Values from VASP.

E	-0.41302	Ry/atom
formation enthalpy at 0 K	-0.048	eV/atom

The structure in Quantum ESPRESSO input format:
```
&SYSTEM
  ibrav = 0, nat = 4, ntyp = 3
/
ATOMIC_SPECIES
Li 6.94 Li.upf
Zr 91.22 Zr.upf
Au 196.97 Au.upf
ATOMIC_POSITIONS crystal
Li 0.000 0.000 0.000
Zr 0.500 0.500 0.266
Zr 0.500 0.500 0.734
Au 0.000 0.000 0.500
CELL_PARAMETERS angstrom
3.028 0.000 0.000
0.000 3.028 0.000
0.000 0.000 8.946
```


Record 5
An optimized crystal structure of YHg2N, computed with PBE. Values from VASP.

E	-0.28237	Ry/atom
formation energy (no corrections)	0.006	eV/atom

The structure in Quantum ESPRESSO input format:
```
&SYSTEM
  ibrav = 0, nat = 8, ntyp = 3
/
ATOMIC_SPECIES
Y 88.91 Y.upf
Hg 200.59 Hg.upf
N 14.01 N.upf
ATOMIC_POSITIONS crystal
Y 0.000 0.000 0.000
Y 0.750 0.250 0.500
Hg 0.210 0.625 0.085
Hg 0.375 0.460 0.585
Hg 0.540 0.125 0.915
Hg 0.875 0.790 0.415
N 0.250 0.750 0.500
N 0.500 0.500 0.000
CELL_PARAMETERS angstrom
-4.292 4.292 2.347
4.292 -4.292 2.347
4.292 4.292 -2.347
```


Record 6
An optimized crystal structure of HfZnFe2Se, computed with PBE. Values from VASP.

E	-0.36732	Ry/atom
formation energy (no corrections)	1.330	eV/atom

The structure in Quantum ESPRESSO input format:
```
&SYSTEM
  ibrav = 0, nat = 5, ntyp = 4
/
ATOMIC_SPECIES
Hf 178.49 Hf.upf
Zn 65.41 Zn.upf
Fe 55.84 Fe.upf
Se 78.96 Se.upf
ATOMIC_POSITIONS crystal
Hf 0.000 0.000 0.000
Zn 0.000 0.000 0.500
Fe 0.000 0.500 0.000
Fe 0.500 0.000 0.000
Se 0.500 0.500 0.500
CELL_PARAMETERS angstrom
4.667 0.000 0.000
0.000 4.667 0.000
0.000 0.000 5.138
```


Record 7
An optimized crystal structure of SmTh3Zn4, computed with PBE. Values from VASP.

E	-0.30985	Ry/atom
formation enthalpy at 0 K	-0.206	eV/atom

The structure in Quantum ESPRESSO input format:
```
&SYSTEM
  ibrav = 0, nat = 8, ntyp = 3
/
ATOMIC_SPECIES
Sm 150.36 Sm.upf
Th 232.04 Th.upf
Zn 65.41 Zn.upf
ATOMIC_POSITIONS crystal
Sm 0.000 0.000 0.000
Th 0.249 0.249 0.249
Th 0.500 0.500 0.500
Th 0.751 0.751 0.751
Zn 0.123 0.123 0.123
Zn 0.373 0.373 0.373
Zn 0.627 0.627 0.627
Zn 0.877 0.877 0.877
CELL_PARAMETERS angstrom
2.587 1.493 8.466
-2.587 1.493 8.466
0.000 -2.987 8.466
```